1:
Here is a geometry-optimized RbIr3I structure from Alexandria. Energies are from GGA-PBE.

Output
space group: Pm-3m (221)

```
data_RbIr3I
_chemical_formula_sum 'Rb1 Ir3 I1'
_space_group_name_H-M_alt 'P 1'
_space_group_IT_number 1
_cell_length_a 5.041
_cell_length_b 5.041
_cell_length_c 5.041
_cell_angle_alpha 90.00
_cell_angle_beta 90.00
_cell_angle_gamma 90.00
loop_
_space_group_symop_operation_xyz
'x,y,z'
loop_
_atom_site_label
_atom_site_type_symbol
_atom_site_fract_x
_atom_site_fract_y
_atom_site_fract_z
Rb1 Rb 0.000 0.000 0.000
Ir1 Ir 0.000 0.000 0.500
Ir2 Ir 0.000 0.500 0.000
Ir3 Ir 0.500 0.000 0.000
I1 I 0.500 0.500 0.500
```

---

2:
Here is a geometry-optimized RbIr3I structure from Alexandria. Energies are from GGA-PBE.

Output
space group: Pm-3m (221)

```
data_RbIr3I
_chemical_formula_sum 'Rb1 Ir3 I1'
_space_group_name_H-M_alt 'P 1'
_space_group_IT_number 1
_cell_length_a 5.010
_cell_length_b 5.010
_cell_length_c 5.010
_cell_angle_alpha 90.00
_cell_angle_beta 90.00
_cell_angle_gamma 90.00
loop_
_space_group_symop_operation_xyz
'x,y,z'
loop_
_atom_site_label
_atom_site_type_symbol
_atom_site_fract_x
_atom_site_fract_y
_atom_site_fract_z
Rb1 Rb 0.000 0.000 0.000
Ir1 Ir 0.000 0.500 0.500
Ir2 Ir 0.500 0.000 0.500
Ir3 Ir 0.500 0.500 0.000
I1 I 0.500 0.500 0.500
```

---

Question: which arrangement is favored energetically? Ranking from most to least stable: 2, 1.